<i>
First-principles (PBE) data for ZrTl2O after structural relaxation, as listed in Alexandria via LeMat-Bulk.

The structure in POSCAR format:
```
ZrTl2O
1.0
-3.085 -3.512 -1.563
-4.464 -0.446 2.042
-4.021 1.220 -2.576
Zr Tl O
1 2 1
Direct
0.500 0.500 0.500
0.750 0.750 0.750
0.250 0.250 0.250
0.000 0.000 0.000
```

Calculated values
- Symmetry: Fm-3m (225)
- DOS(E_F): 1.24 states/eV per atom

***

<ii>
First-principles (PBE) data for ZrTl2O after structural relaxation, as listed in Alexandria via LeMat-Bulk.

The structure in POSCAR format:
```
ZrTl2O
1.0
-4.311 -4.594 4.111
6.152 -2.874 3.240
0.762 -1.707 5.774
Tl Zr O
4 2 2
Direct
0.875 0.814 0.750
0.564 0.125 0.250
0.186 0.625 0.250
0.375 0.436 0.750
0.000 0.000 0.000
0.750 0.250 0.500
0.250 0.750 0.500
0.500 0.500 0.000
```

Calculated values
- Symmetry: I-42d (122)
- DOS(E_F): 0.99 states/eV per atom

***

We find <ii> to be the most stable, with the next structure 441 meV/atom higher.

***

<i>
First-principles (PBE) data for Tm2UO6 after structural relaxation, as listed in Alexandria via LeMat-Bulk.

The structure in POSCAR format:
```
Tm2UO6
1.0
5.041 0.000 0.000
0.000 5.041 0.000
0.000 0.000 10.306
Tm O U
4 12 2
Direct
0.500 0.500 0.166
0.000 0.000 0.334
0.000 0.000 0.666
0.500 0.500 0.834
0.687 0.687 0.658
0.687 0.687 0.342
0.295 0.295 0.000
0.313 0.313 0.342
0.205 0.795 0.500
0.187 0.813 0.158
0.795 0.205 0.500
0.705 0.705 0.000
0.813 0.187 0.158
0.313 0.313 0.658
0.813 0.187 0.842
0.187 0.813 0.842
0.500 0.500 0.500
0.000 0.000 0.000
```

Calculated values
- Symmetry: P4_2/mnm (136)
- DOS(E_F): 0.00 states/eV per atom

***

<ii>
First-principles (PBE) data for Tm2UO6 after structural relaxation, as listed in Alexandria via LeMat-Bulk.

The structure in POSCAR format:
```
Tm2UO6
1.0
0.437 3.593 -1.183
4.235 -1.443 -2.821
-5.569 -2.106 -2.323
O U Tm
6 1 2
Direct
0.158 0.402 0.317
0.842 0.598 0.683
0.500 0.236 0.000
0.500 0.764 0.000
0.842 0.085 0.683
0.158 0.915 0.317
0.000 0.000 0.000
0.333 0.333 0.666
0.667 0.667 0.334
```

Calculated values
- Symmetry: Immm (71)
- DOS(E_F): 0.00 states/eV per atom

***

We find <ii> to be the most stable, with the next structure 23 meV/atom higher.